Entry 1:
A plane-wave DFT calculation with GGA-PBE was carried out for a geometry-optimized UTl2Te6Pb3 structure.

Cell lengths 8.1804, 8.1804, 7.9417 Å; angles 99.88, 99.88, 119.83 degrees
Atoms (fractional coordinates):
U 0.0000 0.0000 0.0000
Tl 0.3299 0.6701 0.0000
Tl 0.6701 0.3299 0.0000
Te 0.0820 0.3851 0.2431
Te 0.2271 0.2271 0.7495
Te 0.3851 0.0820 0.2431
Te 0.6149 0.9180 0.7569
Te 0.7729 0.7729 0.2505
Te 0.9180 0.6149 0.7569
Pb 0.1593 0.8407 0.5000
Pb 0.5000 0.5000 0.5000
Pb 0.8407 0.1593 0.5000

## Properties
formation energy (no corrections) = -506 kJ/mol of formula units
space-group type = C2/m
raw total energy = -4.270 eV/atom

Entry 2:
A plane-wave DFT calculation with GGA-PBE was carried out for a geometry-optimized Hf2UP3 structure.

Cell lengths 3.7217, 3.7217, 19.0428 Å; angles 90.00, 90.00, 120.00 degrees
Atoms (fractional coordinates):
Hf 0.3333 0.6667 0.0793
Hf 0.3333 0.6667 0.4207
Hf 0.6667 0.3333 0.5793
Hf 0.6667 0.3333 0.9207
U 0.0000 0.0000 0.2500
U 0.0000 0.0000 0.7500
P 0.0000 0.0000 0.0000
P 0.0000 0.0000 0.5000
P 0.3333 0.6667 0.6578
P 0.3333 0.6667 0.8422
P 0.6667 0.3333 0.1578
P 0.6667 0.3333 0.3422

## Properties
calculated formation energy = -113.6 kJ per mole of atoms
space-group type = P6_3/mmc
raw total energy = -9.081 eV/atom

Entry 3:
A plane-wave DFT calculation with GGA-PBE was carried out for a geometry-optimized NaHfZn3 structure.

Cell lengths 5.3043, 5.3043, 5.3043 Å; angles 90.00, 90.00, 90.00 degrees
Atoms (fractional coordinates):
Na 0.0000 0.0000 0.0000
Hf 0.5000 0.5000 0.5000
Zn 0.0000 0.5000 0.5000
Zn 0.5000 0.0000 0.5000
Zn 0.5000 0.5000 0.0000

## Properties
calculated formation energy = 65.0 kJ per mole of atoms
excess energy over the best structure of this formula in the dataset = 0 meV/atom
space-group type = Pm-3m
raw total energy = -2.345 eV/atom

Entry 4:
A plane-wave DFT calculation with GGA-PBE was carried out for a geometry-optimized YHf2ScN structure.

Cell lengths 4.5508, 4.5508, 4.7287 Å; angles 90.00, 90.00, 90.00 degrees
Atoms (fractional coordinates):
Y 0.0000 0.0000 0.0000
Hf 0.0000 0.5000 0.5000
Hf 0.5000 0.0000 0.5000
Sc 0.5000 0.5000 0.0000
N 0.5000 0.5000 0.5000

## Properties
formation energy (no corrections) = -260 kJ/mol of formula units
excess energy over the best structure of this formula in the dataset = 76 meV/atom
space-group type = P4/mmm
raw total energy = -8.745 eV/atom

Entry 5:
A plane-wave DFT calculation with GGA-PBE was carried out for a geometry-optimized LiTiTl2B structure.

Cell lengths 4.8591, 4.8591, 4.1567 Å; angles 90.00, 90.00, 90.00 degrees
Atoms (fractional coordinates):
Li 0.0000 0.0000 0.0000
Ti 0.5000 0.5000 0.0000
Tl 0.0000 0.5000 0.5000
Tl 0.5000 0.0000 0.5000
B 0.0000 0.0000 0.5000

## Properties
calculated formation energy = 79.9 kJ per mole of atoms
space-group type = P4/mmm
raw total energy = -3.416 eV/atom

Entry 6:
A plane-wave DFT calculation with GGA-PBE was carried out for a geometry-optimized Rb8AsP2 structure.

Cell lengths 10.1665, 10.1665, 10.1665 Å; angles 147.01, 129.07, 62.03 degrees
Atoms (fractional coordinates):
Rb 0.1163 0.3436 0.7727
Rb 0.1635 0.1635 0.0000
Rb 0.2878 0.0000 0.2878
Rb 0.4291 0.6564 0.7727
Rb 0.5709 0.3436 0.2273
Rb 0.7122 0.0000 0.7122
Rb 0.8365 0.8365 0.0000
Rb 0.8837 0.6564 0.2273
As 0.0000 0.5000 0.5000
P 0.3171 0.8171 0.5000
P 0.6829 0.1829 0.5000

## Properties
calculated formation energy = -13.7 kJ per mole of atoms
space-group type = Immm
raw total energy = -2.252 eV/atom

Entry 7:
A plane-wave DFT calculation with GGA-PBE was carried out for a geometry-optimized CuHgSe2 structure.

Cell lengths 7.1273, 7.1273, 7.1273 Å; angles 130.97, 130.97, 71.86 degrees
Atoms (fractional coordinates):
Cu 0.0000 0.0000 0.0000
Cu 0.7500 0.2500 0.5000
Hg 0.2500 0.7500 0.5000
Hg 0.5000 0.5000 0.0000
Se 0.0800 0.6250 0.9550
Se 0.3750 0.3300 0.4550
Se 0.6700 0.1250 0.0450
Se 0.8750 0.9200 0.5450

## Properties
formation energy (no corrections) = -58 kJ/mol of formula units
space-group type = I-42d
raw total energy = -2.992 eV/atom

Entry 8:
A plane-wave DFT calculation with GGA-PBE was carried out for a geometry-optimized TiCo2Tc2 structure.

Cell lengths 7.2384, 7.2384, 2.6007 Å; angles 90.00, 90.00, 90.00 degrees
Atoms (fractional coordinates):
Ti 0.0000 0.0000 0.0000
Ti 0.5000 0.5000 0.0000
Co 0.1718 0.3282 0.5000
Co 0.3282 0.8282 0.5000
Co 0.6718 0.1718 0.5000
Co 0.8282 0.6718 0.5000
Tc 0.1255 0.6255 0.0000
Tc 0.3745 0.1255 0.0000
Tc 0.6255 0.8745 0.0000
Tc 0.8745 0.3745 0.0000

## Properties
calculated formation energy = 5.2 kJ per mole of atoms
excess energy over the best structure of this formula in the dataset = 71 meV/atom
space-group type = P4/mbm
raw total energy = -8.514 eV/atom

- raw total energy of number 1 (UTl2Te6Pb3)?
  -4.270 eV/atom